1.
# Sn3AsOs

A relaxed Sn3AsOs crystal (GGA-PBE, the Alexandria database).

```
Sn3AsOs
1.0
-2.7610 3.6537 2.2989
-0.0269 -2.7433 4.3279
4.3167 2.3199 1.4973
Os Sn As
1 3 1
direct
0.0000 0.0000 0.0000
0.5000 0.0000 0.0000
0.0000 0.0000 0.5000
0.0000 0.5000 0.0000
0.5000 0.5000 0.5000
```

Results
space group: Pm-3m, No. 221
polymorph energy (0 for the lowest one): 0.000 eV/atom


2.
# NdGdThHg

A relaxed NdGdThHg crystal (GGA-PBE, the Alexandria database).

```
NdGdThHg
1.0
5.5138 0.0000 0.0000
2.7569 4.7751 0.0000
2.7569 1.5917 4.5020
Hg Th Gd Nd
1 1 1 1
direct
0.2500 0.2500 0.2500
0.7500 0.7500 0.7500
0.5000 0.5000 0.5000
0.0000 0.0000 0.0000
```

Results
space group: F-43m, No. 216
energy: -26.40 eV per cell


3.
# LiHf2V2

A relaxed LiHf2V2 crystal (GGA-PBE, the Alexandria database).

```
LiHf2V2
1.0
-4.9896 3.9381 -2.7395
-4.7732 -4.4700 2.2680
-0.2597 1.9117 3.2212
Hf Li V
4 2 4
direct
0.1690 0.6690 0.5000
0.6690 0.8310 0.5000
0.8310 0.3310 0.5000
0.3310 0.1690 0.5000
0.5000 0.5000 0.0000
0.0000 0.0000 0.0000
0.1233 0.3767 0.0000
0.3767 0.8767 0.0000
0.6233 0.1233 0.0000
0.8767 0.6233 0.0000
```

Results
space group: P4/mbm, No. 127
energy: -76.85 eV per cell


4.
# Cs2CrGaI6

A relaxed Cs2CrGaI6 crystal (GGA-PBE, the Alexandria database).

```
Cs2CrGaI6
1.0
-0.9926 7.9379 2.5158
-7.2331 -2.0772 3.7002
-1.1949 1.7053 8.1244
Ga I Cr Cs
1 6 1 2
direct
0.0000 0.0000 0.0000
0.2655 0.2655 0.0000
0.2655 0.2655 0.4689
0.2655 0.7345 0.0000
0.7345 0.7345 0.0000
0.7345 0.2655 0.0000
0.7345 0.7345 0.5311
0.5000 0.5000 0.0000
0.7500 0.2500 0.5000
0.2500 0.7500 0.5000
```

Results
space group: Fm-3m, No. 225
formation energy without anion corrections: -0.852 eV per atom


5.
# Mn2Ru2Rh

A relaxed Mn2Ru2Rh crystal (GGA-PBE, the Alexandria database).

```
Mn2Ru2Rh
1.0
6.9527 0.0000 0.0000
0.0000 6.9527 0.0000
0.0000 0.0000 2.6990
Ru Mn Rh
4 4 2
direct
0.3269 0.1731 0.5000
0.6731 0.8269 0.5000
0.1731 0.6731 0.5000
0.8269 0.3269 0.5000
0.1207 0.3793 0.0000
0.8793 0.6207 0.0000
0.3793 0.8793 0.0000
0.6207 0.1207 0.0000
0.0000 0.0000 0.0000
0.5000 0.5000 0.0000
```

Results
space group: P4/mbm, No. 127
polymorph energy (0 for the lowest one): 0.000 eV/atom


6.
# BaLaTlAu

A relaxed BaLaTlAu crystal (GGA-PBE, the Alexandria database).

```
BaLaTlAu
1.0
5.6785 0.0000 0.0000
2.8392 4.9177 0.0000
2.8392 1.6392 4.6365
La Au Ba Tl
1 1 1 1
direct
0.7500 0.7500 0.7500
0.0000 0.0000 0.0000
0.2500 0.2500 0.2500
0.5000 0.5000 0.5000
```

Results
space group: F-43m, No. 216
energy: -14.37 eV per cell


7.
# Ce2ZnCdRu

A relaxed Ce2ZnCdRu crystal (GGA-PBE, the Alexandria database).

```
Ce2ZnCdRu
1.0
-0.4640 3.7937 -0.7703
-4.4473 -1.8637 -6.5000
-4.6377 0.7482 6.4791
Ce Zn Ru Cd
4 2 2 2
direct
0.7500 0.8963 0.6573
0.2500 0.2893 0.9990
0.7500 0.7107 0.0010
0.2500 0.1037 0.3427
0.7500 0.4409 0.3666
0.2500 0.5591 0.6334
0.7500 0.1283 0.1168
0.2500 0.8717 0.8832
0.2500 0.6804 0.3208
0.7500 0.3196 0.6792
```

Results
space group: P2_1/m, No. 11
energy: -49.33 eV per cell


8.
# Tl3SnTe2

A relaxed Tl3SnTe2 crystal (GGA-PBE, the Alexandria database).

```
Tl3SnTe2
1.0
-2.7332 -2.7104 -2.0460
5.3323 -4.3409 -6.0169
3.5466 -10.4972 4.5243
Tl Te Sn
6 4 2
direct
0.3043 0.2820 0.1093
0.7906 0.8467 0.5720
0.0777 0.0577 0.7869
0.9223 0.9423 0.2131
0.2094 0.1533 0.4280
0.6957 0.7180 0.8907
0.5684 0.2664 0.5968
0.4316 0.7336 0.4032
0.1244 0.6438 0.1075
0.8756 0.3562 0.8925
0.3848 0.5300 0.7005
0.6152 0.4700 0.2995
```

Results
space group: C2/m, No. 12
formation energy without anion corrections: -0.169 eV per atom


9.
# NiAs2Br

A relaxed NiAs2Br crystal (GGA-PBE, the Alexandria database).

```
NiAs2Br
1.0
-3.7942 2.3877 -3.9997
-2.4048 -2.9623 -4.6407
0.8518 0.7086 5.9049
Br Ni As
1 1 2
direct
0.7500 0.2500 0.5000
0.2500 0.7500 0.5000
0.0619 0.0619 0.0000
0.4381 0.4381 0.0000
```

Results
space group: Immm, No. 71
formation energy without anion corrections: 0.295 eV per atom
polymorph energy (0 for the lowest one): 0.473 eV/atom